No. 1
Entry from Alexandria: a relaxed AcDyTe2S crystal (PBE).

Lattice parameters (Å, degrees): 4.578 4.578 15.876 90.00 90.00 90.00
Sites, in units of the cell vectors:
Ac 0.250 0.250 0.111
Ac 0.750 0.750 0.889
Dy 0.250 0.250 0.606
Dy 0.750 0.750 0.394
Te 0.250 0.250 0.406
Te 0.250 0.250 0.788
Te 0.750 0.750 0.212
Te 0.750 0.750 0.594
S 0.250 0.750 0.000
S 0.750 0.250 0.000

Output
DOS(E_F): 0.336 states/eV/atom
VASP energy: -5.3892 eV per atom
symmetry: No. 129
uncorrected formation energy: -1.565 eV per atom

No. 2
Entry from Alexandria: a relaxed Pm3Sm crystal (PBE).

Lattice parameters (Å, degrees): 6.325 6.325 6.325 131.99 131.99 70.25
Sites, in units of the cell vectors:
Pm 0.000 0.000 0.000
Pm 0.250 0.750 0.500
Pm 0.750 0.250 0.500
Sm 0.500 0.500 0.000

Output
DOS(E_F): 1.466 states/eV/atom
VASP energy: -4.7304 eV per atom
symmetry: No. 139
ΔH_f (0 K): 0.01 eV/atom
ΔE to the lowest computed polymorph: 1.1 kJ/mol of atoms

No. 3
Entry from Alexandria: a relaxed Nd7Sn4O crystal (PBE).

Lattice parameters (Å, degrees): 8.795 8.795 11.262 126.49 126.49 34.26
Sites, in units of the cell vectors:
Nd 0.000 0.000 0.000
Nd 0.136 0.136 0.547
Nd 0.287 0.287 0.144
Nd 0.433 0.433 0.750
Nd 0.567 0.567 0.250
Nd 0.713 0.713 0.856
Nd 0.864 0.864 0.453
Sn 0.079 0.079 0.789
Sn 0.221 0.221 0.347
Sn 0.779 0.779 0.653
Sn 0.921 0.921 0.211
O 0.500 0.500 0.000

Output
DOS(E_F): 0.760 states/eV/atom
VASP energy: -5.4128 eV per atom
symmetry: No. 12
uncorrected formation energy: -0.884 eV per atom

No. 4
Entry from Alexandria: a relaxed Ce6In2Bi crystal (PBE).

Lattice parameters (Å, degrees): 9.178 9.178 3.216 90.00 90.00 120.00
Sites, in units of the cell vectors:
Ce 0.000 0.345 0.000
Ce 0.000 0.655 0.000
Ce 0.345 0.000 0.000
Ce 0.345 0.345 0.000
Ce 0.655 0.000 0.000
Ce 0.655 0.655 0.000
In 0.333 0.667 0.500
In 0.667 0.333 0.500
Bi 0.000 0.000 0.500

Output
DOS(E_F): 2.746 states/eV/atom
VASP energy: -5.2128 eV per atom
symmetry: No. 191
ΔH_f (0 K): -0.22 eV/atom